Entry from the Alexandria database: a relaxed structure of Li2V2WO6 (PBE with a Hubbard U).

Calculated values
DFT total energy   -77.510 eV/f.u.
Total magnetization   4.00 μB/f.u.
Crystal system   monoclinic

abc: 5.2275 5.2275 5.3633
angles: 100.86 100.86 117.72
Last column: nearest neighbours and their distance in Å.
Element x y z (fractional)
1 Li 0.1744 0.8256 0.0000  6 O 2.16-2.29
2 Li 0.8256 0.1744 0.0000  6 O 2.16-2.29
3 V 0.3460 0.6540 0.5000  6 O 2.08-2.18
4 V 0.6540 0.3460 0.5000  6 O 2.08-2.18
5 W 0.0000 0.0000 0.5000  6 O 2.01-2.05
6 O 0.0602 0.3950 0.7151  1 W 2.01, 2 V 2.09-2.18, 1 Li 2.21
7 O 0.2264 0.2264 0.2646  1 W 2.05, 2 V 2.08, 2 Li 2.16
8 O 0.3950 0.0602 0.7151  1 W 2.01, 2 V 2.09-2.18, 1 Li 2.21
9 O 0.6050 0.9398 0.2849  1 W 2.01, 2 V 2.09-2.18, 1 Li 2.21
10 O 0.7736 0.7736 0.7354  1 W 2.05, 2 V 2.08, 2 Li 2.16
11 O 0.9398 0.6050 0.2849  1 W 2.01, 2 V 2.09-2.18, 1 Li 2.21